DFT (PBE) results for a relaxed structure of Rb2Sc3O6.

a = 5.6060 Å, b = 5.6072 Å, c = 6.8325 Å
α = 82.16°, β = 74.16°, γ = 60.01°
Positions (direct):
Sc1 0.6643 0.6714 0.0000
Sc2 0.3357 0.3286 0.0000
Sc3 0.0000 0.0000 0.0000
O1 0.6134 0.3372 0.1602
O2 0.3866 0.6628 0.8398
O3 0.9506 0.6628 0.1602
O4 0.0494 0.3372 0.8398
O5 0.2764 0.0000 0.1604
O6 0.7236 0.0000 0.8396
Rb1 0.1667 0.6665 0.5000
Rb2 0.8333 0.3335 0.5000

Values from the calculation:
E_tot in eV per atom: -7.314
E_form (uncorrected) in meV/atom: -2707
Symmetry: C2/m (12)
Volume in A^3/atom: 16.3



DFT (PBE) results for a relaxed structure of SrGa2Os.

a = 4.3053 Å, b = 4.3053 Å, c = 6.0805 Å
α = 69.27°, β = 69.27°, γ = 60.00°
Positions (direct):
Os1 0.0000 0.0000 0.0000
Sr1 0.5000 0.5000 0.5000
Ga1 0.2956 0.2956 0.1133
Ga2 0.7044 0.7044 0.8867

Values from the calculation:
ΔE_f in eV/atom: -0.19
E_tot in eV per atom: -4.929
Symmetry: R-3m (166)
Volume in A^3/atom: 22.3



DFT (PBE) results for a relaxed structure of LiIrSe.

a = 4.2675 Å, b = 4.2675 Å, c = 6.7631 Å
α = 71.61°, β = 71.61°, γ = 60.00°
Positions (direct):
Ir1 0.7172 0.7172 0.8485
Ir2 0.2828 0.2828 0.1515
Li1 0.8731 0.8731 0.3808
Li2 0.1269 0.1269 0.6192
Se1 0.4134 0.4134 0.7597
Se2 0.5866 0.5866 0.2403

Values from the calculation:
E_tot in eV per atom: -4.920
E_form (uncorrected) in meV/atom: -167
Symmetry: R-3m (166)
Energy relative to the lowest polymorph listed for this composition in eV per atom: 0.036
Volume in A^3/atom: 16.6



DFT (PBE) results for a relaxed structure of SrCaTl2Pd.

a = 5.4852 Å, b = 5.4852 Å, c = 5.2493 Å
α = 90.00°, β = 90.00°, γ = 90.00°
Positions (direct):
Pd1 0.0000 0.0000 0.0000
Tl1 0.5000 0.0000 0.0000
Tl2 0.0000 0.5000 0.0000
Ca1 0.0000 0.0000 0.5000
Sr1 0.5000 0.5000 0.5000

Values from the calculation:
ΔE_f in eV/atom: -0.28
E_tot in eV per atom: -3.001
Symmetry: P4/mmm (123)
Volume in A^3/atom: 31.6